# 1
Compound: Rb5US5
Source: the Open Quantum Materials Database
Functional: GGA-PBE
Structure: optimized geometry

```
data_Rb5US5
_space_group_name_H-M_alt 'C 1 2/m 1'
_space_group_IT_number 12
_cell_length_a 15.098
_cell_length_b 6.086
_cell_length_c 8.942
_cell_angle_alpha 90.00
_cell_angle_beta 109.28
_cell_angle_gamma 90.00
loop_
_space_group_symop_operation_xyz
'x,y,z'
'-x,-y,-z'
'-x,y,-z'
'x,-y,z'
'x+1/2,y+1/2,z'
'-x+1/2,-y+1/2,-z'
'-x+1/2,y+1/2,-z'
'x+1/2,-y+1/2,z'
loop_
_atom_site_label
_atom_site_type_symbol
_atom_site_fract_x
_atom_site_fract_y
_atom_site_fract_z
Rb1 Rb 0.000 0.000 0.000
Rb2 Rb 0.175 0.500 0.346
Rb3 Rb 0.195 0.500 0.806
U1 U 0.000 0.000 0.500
S1 S 0.000 0.500 0.500
S2 S 0.126 0.000 0.362
S3 S 0.132 0.000 0.778
```

## Properties
- calculated volume (Å³ per atom) = 35.3
- total energy (eV per atom) = -4.54

---

# 2
Compound: GdAgSeO
Source: the Open Quantum Materials Database
Functional: GGA-PBE
Structure: optimized geometry

```
data_GdAgSeO
_space_group_name_H-M_alt 'P 1 21/c 1'
_space_group_IT_number 14
_cell_length_a 6.619
_cell_length_b 7.364
_cell_length_c 6.552
_cell_angle_alpha 90.00
_cell_angle_beta 102.25
_cell_angle_gamma 90.00
loop_
_space_group_symop_operation_xyz
'x,y,z'
'-x,-y,-z'
'-x,y+1/2,-z+1/2'
'x,-y+1/2,z+1/2'
loop_
_atom_site_label
_atom_site_type_symbol
_atom_site_fract_x
_atom_site_fract_y
_atom_site_fract_z
Gd1 Gd 0.070 0.124 0.227
Ag1 Ag 0.446 0.707 0.500
Se1 Se 0.315 0.046 0.668
O1 O 0.071 0.663 0.604
```

## Properties
- calculated volume (Å³ per atom) = 19.5
- total energy (eV per atom) = -5.73